Record 1
Material: MnNiGe2Se
Method: DFT, SCAN
State: single point on PBEsol structure

```
5
Lattice="5.100 0.000 0.000 0.000 5.100 0.000 0.000 0.000 4.164" Properties=species:S:1:pos:R:3 pbc="T T T"
Mn 0.000 0.000 0.000
Ni 2.550 2.550 0.000
Ge 0.000 2.550 2.082
Ge 2.550 0.000 2.082
Se 2.550 2.550 2.082
```

Computed properties:
ΔE_f (raw)   0.778 eV/atom
N(E_F)   0.599 states/eV per atom
E_tot   -17.76 eV per atom


Record 2
Material: MnGeO3
Method: DFT, SCAN
State: single point on PBEsol structure

```
20
Lattice="4.946 -4.602 0.000 4.946 4.602 0.000 -1.068 0.000 5.156" Properties=species:S:1:pos:R:3 pbc="T T T"
Mn 4.146 3.730 3.867
Mn 4.679 2.059 1.289
Mn 4.146 -2.059 3.867
Mn 4.679 -3.730 1.289
Ge 2.187 0.854 3.699
Ge 2.721 -0.854 1.120
Ge 6.104 0.854 4.036
Ge 6.638 -0.854 1.458
O 0.477 0.847 3.289
O 2.843 2.212 4.546
O 1.011 -0.847 0.711
O 3.095 0.604 2.145
O 5.448 2.212 3.188
O 2.561 -0.604 4.724
O 6.264 0.604 0.433
O 3.377 -2.212 1.968
O 5.730 -0.604 3.011
O 7.814 0.847 4.445
O 5.982 -2.212 0.610
O 8.348 -0.847 1.867
```

Computed properties:
ΔE_f (raw)   -1.912 eV/atom
E_tot   -13.12 eV per atom


Record 3
Material: MnGeO3
Method: DFT, SCAN
State: single point on PBEsol structure

```
10
Lattice="2.518 1.454 4.746 -2.518 1.454 4.746 0.000 -2.908 4.746" Properties=species:S:1:pos:R:3 pbc="T T T"
Mn 0.000 0.000 1.904
Mn 0.000 0.000 12.335
Ge 0.000 0.000 4.886
Ge 0.000 0.000 9.353
O -1.629 -0.209 5.817
O -0.634 -1.515 8.422
O 0.995 -1.307 5.817
O -0.995 1.307 8.422
O 0.634 1.515 5.817
O 1.629 0.209 8.422
```

Computed properties:
ΔE_f (raw)   -1.909 eV/atom
E_tot   -13.12 eV per atom


Record 4
Material: Mn3GeO
Method: DFT, SCAN
State: single point on PBEsol structure

```
5
Lattice="4.692 0.000 0.000 0.000 4.692 0.000 0.000 0.000 4.692" Properties=species:S:1:pos:R:3 pbc="T T T"
Mn 0.000 0.000 2.346
Mn 0.000 2.346 0.000
Mn 2.346 0.000 0.000
Ge 0.000 0.000 0.000
O 2.346 2.346 2.346
```

Computed properties:
ΔE_f (raw)   0.483 eV/atom
N(E_F)   0.087 states/eV per atom
E_tot   -15.53 eV per atom


Q: Number 3 is which compound?
A: MnGeO3


Q: What is the E_tot in the first record?
A: -17.76 eV per atom